DFT (PBE-GGA) results for a geometry-optimized LiHgNF2 structure.

The offset from the most stable computed form is 136 meV per atom. Its mass density is 4.606 g/cm³. For the raw formation energy, the calculation gives -343 meV per atom. The calculation puts the electronic total energy at -3.1994 eV/atom.

The space group is P4/mmm (No. 123) and the conventional cell measures 4.771, 4.771 and 4.111 Å, with angles of 90.00, 90.00 and 90.00 degrees. The inequivalent atoms are Li at (0.000, 0.000, 0.000), Hg at (0.500, 0.500, 0.500), N at (0.500, 0.500, 0.000) and F at (0.000, 0.500, 0.500).

---

DFT (PBE-GGA) results for a geometry-optimized Ba2In3HgGe4 structure.

The formation enthalpy at 0 K comes out at -29 kJ/mol of atoms. Its mass density is 6.694 g/cm³. The calculation puts the electronic total energy at -3.3831 eV/atom.

The space group is P-4m2 (No. 115) and the conventional cell measures 5.070, 5.070 and 10.715 Å, with angles of 90.00, 90.00 and 90.00 degrees. The inequivalent atoms are Ba at (0.000, 0.500, 0.244), In at (0.000, 0.500, 0.880), In at (0.500, 0.500, 0.500), Hg at (0.000, 0.000, 0.500), Ge at (0.000, 0.000, 0.000), Ge at (0.000, 0.500, 0.626) and Ge at (0.500, 0.500, 0.000).

---

DFT (PBE-GGA) results for a geometry-optimized CeTm2Pb structure.

The offset from the most stable computed form is 75 meV per atom. The formation enthalpy at 0 K comes out at -15 kJ/mol of atoms. Its mass density is 9.823 g/cm³. The calculation puts the electronic total energy at -4.8059 eV/atom.

The space group is P4/mmm (No. 123) and the conventional cell measures 3.582, 3.582 and 9.028 Å, with angles of 90.00, 90.00 and 90.00 degrees. The inequivalent atoms are Ce at (0.000, 0.000, 0.000), Tm at (0.500, 0.500, 0.263) and Pb at (0.000, 0.000, 0.500).

---

DFT (PBE-GGA) results for a geometry-optimized Mg4CoRu structure.

The formation enthalpy at 0 K comes out at 59 kJ/mol of atoms. Its mass density is 4.033 g/cm³. The calculation puts the electronic total energy at -3.1829 eV/atom.

The space group is F-43m (No. 216) and the conventional cell measures 7.510, 7.510 and 7.510 Å, with angles of 90.00, 90.00 and 90.00 degrees. The inequivalent atoms are Mg at (0.125, 0.125, 0.125), Co at (0.000, 0.000, 0.500) and Ru at (0.250, 0.250, 0.750).

---

DFT (PBE-GGA) results for a geometry-optimized RbCa3Tl structure.

The offset from the most stable computed form is 971 meV per atom. The formation enthalpy at 0 K comes out at 91 kJ/mol of atoms. Its mass density is 2.596 g/cm³. The calculation puts the electronic total energy at -0.9196 eV/atom.

The space group is Pm-3m (No. 221) and the conventional cell measures 6.402, 6.402 and 6.402 Å, with angles of 90.00, 90.00 and 90.00 degrees. The inequivalent atoms are Rb at (0.000, 0.000, 0.000), Ca at (0.000, 0.000, 0.500) and Tl at (0.500, 0.500, 0.500).

---

DFT (PBE-GGA) results for a geometry-optimized CaTe2Rh structure.

The offset from the most stable computed form is 243 meV per atom. Its mass density is 6.552 g/cm³. For the raw formation energy, the calculation gives -571 meV per atom. The calculation puts the electronic total energy at -4.4802 eV/atom.

The space group is Imm2 (No. 44) and the conventional cell measures 3.717, 4.009 and 13.542 Å, with angles of 90.00, 90.00 and 90.00 degrees. The inequivalent atoms are Ca at (0.000, 0.000, 0.000), Te at (0.000, 0.000, 0.391), Te at (0.000, 0.500, 0.178) and Rh at (0.000, 0.500, 0.741).